[1]
TcAs2W | PBE-GGA | optimized geometry

Computed properties:
**Magnetization**: 0.00 μB per formula unit
**ΔE_f**: 124 meV/atom
**D(E_F)**: 0.846 states/eV per atom
**Space-group type**: Fm-3m, No. 225
**Density**: 11.955 g/cm3
**Total DFT energy (no corrections)**: -32.120 eV for the cell shown

Unit cell a=4.393 b=4.393 c=4.393 alpha=60.00 beta=60.00 gamma=60.00
Atoms (fractional coordinates):
As1 0.250 0.250 0.250
Tc1 0.000 0.000 0.000
W1 0.500 0.500 0.500
As2 0.750 0.750 0.750

[2]
ErHf4Zn5 | PBE-GGA | optimized geometry

Computed properties:
**Magnetization**: 0.00 μB per formula unit
**ΔE_f**: -212 meV/atom
**D(E_F)**: 0.506 states/eV per atom
**Space-group type**: P4/mmm, No. 123
**Density**: 10.713 g/cm3
**Total DFT energy (no corrections)**: -52.868 eV for the cell shown

Unit cell a=3.347 b=3.347 c=16.715 alpha=90.00 beta=90.00 gamma=90.00
Atoms (fractional coordinates):
Hf1 0.000 0.000 0.597
Er1 0.000 0.000 0.000
Hf2 0.000 0.000 0.403
Hf3 0.000 0.000 0.792
Zn1 0.500 0.500 0.113
Hf4 0.000 0.000 0.208
Zn2 0.500 0.500 0.694
Zn3 0.500 0.500 0.887
Zn4 0.500 0.500 0.306
Zn5 0.500 0.500 0.500